[1]
A plane-wave DFT calculation with SCAN was carried out for CdCu2 at its PBEsol-relaxed geometry.

Density ... 9.43 Mg/m³
E ... -20.182 eV per atom

a b c (Å): 3.8141 3.8141 11.8962
angles (deg): 99.05 99.05 90.01
Closest atoms and distances in Å follow each position.
Positions (direct):
Cu 0.9997 0.5002 0.9997  8 Cu 2.60-2.70, 4 Cd 2.66-2.67
Cu 0.6743 0.1742 0.3470  4 Cu 2.60-2.61, 6 Cd 2.70-2.89
Cu 0.4242 0.4243 0.8470  4 Cu 2.60-2.61, 6 Cd 2.70-2.89
Cu 0.2503 0.2498 0.5003  8 Cu 2.60-2.70, 4 Cd 2.66-2.67
Cu 0.4998 0.0003 0.0003  8 Cu 2.60-2.70, 4 Cd 2.66-2.67
Cu 0.5757 0.5758 0.1530  4 Cu 2.60-2.61, 6 Cd 2.70-2.89
Cu 0.7502 0.7497 0.4997  8 Cu 2.60-2.70, 4 Cd 2.66-2.67
Cu 0.8258 0.3257 0.6530  4 Cu 2.60-2.61, 6 Cd 2.70-2.89
Cd 0.3304 0.8294 0.6610  10 Cu 2.66-2.89, 2 Cd 2.81-2.82
Cd 0.0794 0.0803 0.1610  10 Cu 2.66-2.89, 2 Cd 2.81-2.82
Cd 0.1706 0.6697 0.3390  10 Cu 2.66-2.89, 2 Cd 2.81-2.82
Cd 0.9196 0.9206 0.8390  10 Cu 2.66-2.89, 2 Cd 2.81-2.82

---

[2]
A plane-wave DFT calculation with SCAN was carried out for DyCdCu at its PBEsol-relaxed geometry.

Density ... 9.45 Mg/m³
E ... -31.497 eV per atom

a b c (Å): 3.8422 7.3231 7.3231
angles (deg): 120.00 90.00 90.00
Closest atoms and distances in Å follow each position.
Positions (direct):
Cd 0.0000 0.0000 0.7486  4 Cu 2.66-2.79
Cd 0.0000 0.7486 0.0000  4 Cu 2.66-2.79
Cd 0.0000 0.2514 0.2514  4 Cu 2.66-2.79
Dy 0.5000 0.4116 0.0000  5 Cu 2.93-3.01, 6 Cd 3.13-3.26
Dy 0.5000 0.5884 0.5884  5 Cu 2.93-3.01, 6 Cd 3.13-3.26
Dy 0.5000 0.0000 0.4116  5 Cu 2.93-3.01, 6 Cd 3.13-3.26
Cu 0.0000 0.6667 0.3333  3 Cd 2.79, 6 Dy 2.93
Cu 0.0000 0.3333 0.6667  3 Cd 2.79, 6 Dy 2.93
Cu 0.5000 0.0000 0.0000  6 Cd 2.66

---

[3]
A plane-wave DFT calculation with SCAN was carried out for Er2CdCu2 at its PBEsol-relaxed geometry.

Density ... 9.78 Mg/m³
E ... -32.680 eV per atom

a b c (Å): 3.5667 7.3928 7.3928
angles (deg): 90.00 90.00 90.00
Closest atoms and distances in Å follow each position.
Positions (direct):
Cu 0.0000 0.3793 0.1207  1 Cu 2.52, 2 Er 2.79
Cu 0.0000 0.6207 0.8793  1 Cu 2.52, 2 Er 2.79
Cu 0.0000 0.1207 0.6207  1 Cu 2.52, 2 Er 2.79
Cu 0.0000 0.8793 0.3793  1 Cu 2.52, 2 Er 2.79
Er 0.5000 0.1735 0.3265  6 Cu 2.79-2.84
Er 0.5000 0.6735 0.1735  6 Cu 2.79-2.84
Er 0.5000 0.3265 0.8265  6 Cu 2.79-2.84
Er 0.5000 0.8265 0.6735  6 Cu 2.79-2.84
Cd 0.0000 0.0000 0.0000  4 Cu 2.94, 8 Er 3.26
Cd 0.0000 0.5000 0.5000  4 Cu 2.94, 8 Er 3.26

---

[4]
A plane-wave DFT calculation with SCAN was carried out for Cd2CuF at its PBEsol-relaxed geometry.

Density ... 8.10 Mg/m³
Formation energy without anion corrections ... -0.429 eV per atom

a b c (Å): 4.4667 4.4667 4.4667
angles (deg): 60.00 60.00 60.00
Closest atoms and distances in Å follow each position.
Positions (direct):
Cu 0.5000 0.5000 0.5000  8 Cd 2.74
Cd 0.2500 0.2500 0.2500  4 F 2.74, 4 Cu 2.74
Cd 0.7500 0.7500 0.7500  4 Cu 2.74, 4 F 2.74
F 0.0000 0.0000 0.0000  8 Cd 2.74

---

[5]
A plane-wave DFT calculation with SCAN was carried out for NaCdCuF2 at its PBEsol-relaxed geometry.

Density ... 4.54 Mg/m³
Formation energy without anion corrections ... -0.917 eV per atom

a b c (Å): 4.0354 4.0354 5.3226
angles (deg): 90.00 90.00 90.00
Closest atoms and distances in Å follow each position.
Positions (direct):
Cd 0.5000 0.5000 0.5000  4 Na 2.85
Na 0.0000 0.0000 0.5000  2 Cu 2.66, 4 Cd 2.85
F 0.5000 0.0000 0.0000  2 Cu 2.02
F 0.0000 0.5000 0.0000  2 Cu 2.02
Cu 0.0000 0.0000 0.0000  4 F 2.02

---

[6]
A plane-wave DFT calculation with SCAN was carried out for RbCdCu2F at its PBEsol-relaxed geometry.

Density ... 5.26 Mg/m³
Formation energy without anion corrections ... 0.220 eV per atom

a b c (Å): 4.4641 4.4641 5.4489
angles (deg): 90.00 90.00 90.00
Closest atoms and distances in Å follow each position.
Positions (direct):
Cd 0.0000 0.0000 0.5000  2 F 2.72
F 0.0000 0.0000 0.0000  4 Cu 2.23
Cu 0.5000 0.0000 0.0000  2 F 2.23
Cu 0.0000 0.5000 0.0000  2 F 2.23
Rb 0.5000 0.5000 0.5000  4 Cd 3.16, 8 Cu 3.52

---

[7]
A plane-wave DFT calculation with SCAN was carried out for Cd2FeCu at its PBEsol-relaxed geometry.

Distance to the lowest polymorph of the same formula ... 117.2 meV/atom
Density ... 9.20 Mg/m³

a b c (Å): 3.9775 3.9775 4.8292
angles (deg): 114.32 114.32 90.00
Closest atoms and distances in Å follow each position.
Positions (direct):
Fe 0.2500 0.7500 0.5000  4 Cu 2.79, 8 Cd 2.79-2.81
Cu 0.5000 0.5000 0.0000  8 Cd 2.79-2.81, 4 Fe 2.79
Cd 0.7500 0.2500 0.5000  4 Cd 2.79, 4 Cu 2.79, 4 Fe 2.81
Cd 0.0000 0.0000 0.0000  4 Fe 2.79, 4 Cd 2.79, 4 Cu 2.81

---

[8]
A plane-wave DFT calculation with SCAN was carried out for Cd2FeCu at its PBEsol-relaxed geometry.

Distance to the lowest polymorph of the same formula ... 0.0 meV/atom
Density ... 9.20 Mg/m³

a b c (Å): 2.8726 2.8726 7.5309
angles (deg): 90.00 90.00 90.00
Closest atoms and distances in Å follow each position.
Positions (direct):
Cd 0.0000 0.0000 0.9703  4 Fe 2.78, 4 Cd 2.87
Cd 0.5000 0.5000 0.2844  4 Cu 2.73, 4 Cd 2.87
Fe 0.5000 0.5000 0.7179  4 Cu 2.49, 4 Cd 2.78
Cu 0.0000 0.0000 0.5274  4 Fe 2.49, 4 Cd 2.73

---

[9]
A plane-wave DFT calculation with SCAN was carried out for Cd2FeCu at its PBEsol-relaxed geometry.

Distance to the lowest polymorph of the same formula ... 57.7 meV/atom
Density ... 9.21 Mg/m³

a b c (Å): 2.8778 4.6231 5.4007
angles (deg): 115.34 105.45 90.00
Closest atoms and distances in Å follow each position.
Positions (direct):
Fe 0.2330 0.7330 0.4659  2 Cu 2.48, 6 Cd 2.74-2.77
Cd 0.7641 0.2641 0.5283  4 Fe 2.74, 2 Cu 2.76, 4 Cd 2.88-2.96
Cd 0.9867 0.9867 0.9734  4 Cu 2.74, 2 Fe 2.77, 4 Cd 2.88-2.96
Cu 0.5162 0.5162 0.0324  2 Fe 2.48, 6 Cd 2.74-2.76

---

[10]
A plane-wave DFT calculation with SCAN was carried out for CdFeCu at its PBEsol-relaxed geometry.

Density ... 9.18 Mg/m³
E ... -21.058 eV per atom

a b c (Å): 2.7569 2.7569 5.8483
angles (deg): 103.63 103.63 90.00
Closest atoms and distances in Å follow each position.
Positions (direct):
Cd 0.0011 0.0011 0.0022  4 Cd 2.76, 4 Cu 2.77, 4 Fe 2.80
Cu 0.6795 0.6795 0.3589  4 Fe 2.49, 4 Cu 2.76, 4 Cd 2.77
Fe 0.3194 0.3194 0.6388  4 Cu 2.49, 4 Fe 2.76

---

[11]
A plane-wave DFT calculation with SCAN was carried out for CdFeCu4Sn2Se8 at its PBEsol-relaxed geometry.

Density ... 5.80 Mg/m³
Formation energy without anion corrections ... -0.348 eV per atom

a b c (Å): 5.7231 5.7231 11.2946
angles (deg): 90.00 90.00 90.00
Closest atoms and distances in Å follow each position.
Positions (direct):
Se 0.7487 0.2513 0.8541  2 Cu 2.39, 1 Sn 2.60, 1 Cd 2.62
Se 0.7320 0.2680 0.3695  1 Fe 2.39, 2 Cu 2.39, 1 Sn 2.62
Se 0.2513 0.7487 0.8541  2 Cu 2.39, 1 Sn 2.60, 1 Cd 2.62
Se 0.2680 0.2680 0.6305  1 Fe 2.39, 2 Cu 2.39, 1 Sn 2.62
Se 0.2513 0.2513 0.1459  2 Cu 2.39, 1 Sn 2.60, 1 Cd 2.62
Se 0.2680 0.7320 0.3695  1 Fe 2.39, 2 Cu 2.39, 1 Sn 2.62
Se 0.7320 0.7320 0.6305  1 Fe 2.39, 2 Cu 2.39, 1 Sn 2.62
Se 0.7487 0.7487 0.1459  2 Cu 2.39, 1 Sn 2.60, 1 Cd 2.62
Sn 0.0000 0.0000 0.5000  4 Se 2.62
Sn 0.5000 0.5000 0.0000  4 Se 2.60
Cu 0.5000 0.0000 0.7422  4 Se 2.39
Cu 0.0000 0.5000 0.2578  4 Se 2.39
Cu 0.0000 0.5000 0.7422  4 Se 2.39
Cu 0.5000 0.0000 0.2578  4 Se 2.39
Cd 0.0000 0.0000 0.0000  4 Se 2.62
Fe 0.5000 0.5000 0.5000  4 Se 2.39

---

[12]
A plane-wave DFT calculation with SCAN was carried out for Cd2Fe3Cu10Sn5Se20 at its PBEsol-relaxed geometry.

Density ... 5.80 Mg/m³
Formation energy without anion corrections ... -0.341 eV per atom

a b c (Å): 6.9061 6.9061 20.6333
angles (deg): 96.60 96.60 108.28
Closest atoms and distances in Å follow each position.
Positions (direct):
Cd 0.3992 0.0004 0.3996  4 Se 2.62-2.63
Cd 0.9996 0.6008 0.6004  4 Se 2.62-2.63
Cu 0.8457 0.9451 0.2943  4 Se 2.38-2.39
Cu 0.3492 0.4487 0.2943  4 Se 2.38-2.39
Cu 0.2488 0.3488 0.0985  4 Se 2.39
Cu 0.1504 0.2503 0.9015  4 Se 2.39
Cu 0.6512 0.7512 0.9015  4 Se 2.39
Cu 0.7497 0.8496 0.0985  4 Se 2.39
Cu 0.0549 0.1543 0.7057  4 Se 2.38-2.39
Cu 0.4491 0.5509 0.5000  4 Se 2.37-2.38
Cu 0.5513 0.6508 0.7057  4 Se 2.38-2.39
Cu 0.9491 0.0509 0.5000  4 Se 2.37-2.38
Sn 0.1064 0.6994 0.8058  4 Se 2.59-2.63
Sn 0.8958 0.4974 0.3932  4 Se 2.59-2.62
Sn 0.3006 0.8936 0.1942  4 Se 2.59-2.63
Sn 0.5026 0.1042 0.6068  4 Se 2.59-2.62
Sn 0.7008 0.2992 0.0000  4 Se 2.64-2.65
Se 0.6161 0.4898 0.1059  1 Fe 2.37, 2 Cu 2.39, 1 Sn 2.64
Se 0.8943 0.2025 0.6028  2 Cu 2.38-2.39, 1 Sn 2.59, 1 Cd 2.62
Se 0.0189 0.8908 0.9098  1 Fe 2.38, 2 Cu 2.39, 1 Sn 2.62
Se 0.3120 0.1923 0.5042  2 Cu 2.37, 1 Sn 2.60, 1 Cd 2.63
Se 0.5102 0.3839 0.8941  1 Fe 2.37, 2 Cu 2.39, 1 Sn 2.64
Se 0.7975 0.1057 0.3972  2 Cu 2.38-2.39, 1 Sn 2.59, 1 Cd 2.62
Se 0.1049 0.4392 0.0000  1 Fe 2.37, 2 Cu 2.39, 1 Sn 2.65
Se 0.7023 0.0389 0.1965  1 Fe 2.37, 2 Cu 2.39, 1 Sn 2.63
Se 0.5058 0.8423 0.8035  1 Fe 2.37, 2 Cu 2.39, 1 Sn 2.63
Se 0.7079 0.5794 0.2873  1 Fe 2.38, 2 Cu 2.38, 1 Sn 2.62
Se 0.9611 0.2977 0.8035  1 Fe 2.37, 2 Cu 2.39, 1 Sn 2.63
Se 0.2080 0.0870 0.2950  2 Cu 2.38, 1 Sn 2.59, 1 Cd 2.63
Se 0.8077 0.6880 0.4958  2 Cu 2.37, 1 Sn 2.60, 1 Cd 2.63
Se 0.1577 0.4942 0.1965  1 Fe 2.37, 2 Cu 2.39, 1 Sn 2.63
Se 0.4206 0.2921 0.7127  1 Fe 2.38, 2 Cu 2.38, 1 Sn 2.62
Se 0.5608 0.8951 0.0000  1 Fe 2.37, 2 Cu 2.39, 1 Sn 2.65
Se 0.2915 0.5997 0.3972  2 Cu 2.38-2.39, 1 Sn 2.59, 1 Cd 2.62
Se 0.4003 0.7085 0.6028  2 Cu 2.38-2.39, 1 Sn 2.59, 1 Cd 2.62
Se 0.9130 0.7920 0.7050  2 Cu 2.38, 1 Sn 2.59, 1 Cd 2.63
Se 0.1092 0.9811 0.0902  1 Fe 2.38, 2 Cu 2.39, 1 Sn 2.62
Fe 0.5999 0.2039 0.8039  4 Se 2.37-2.38
Fe 0.7961 0.4001 0.1961  4 Se 2.37-2.38
Fe 0.2000 0.8000 0.0000  4 Se 2.37-2.38